No. 1
Pm5ZnPt2 | PBE | relaxed

Lattice parameters (Å, degrees): 7.008 13.047 4.707 90.00 90.00 90.00
Fractional positions:
Pm  0.000  0.000  0.000
Pm  0.165  0.393  0.500
Pm  0.172  0.713  0.000
Pm  0.328  0.213  0.000
Pm  0.335  0.893  0.500
Pm  0.500  0.500  0.000
Pm  0.665  0.107  0.500
Pm  0.672  0.787  0.000
Pm  0.828  0.287  0.000
Pm  0.835  0.607  0.500
Zn  0.000  0.500  0.000
Zn  0.500  0.000  0.000
Pt  0.055  0.164  0.500
Pt  0.445  0.664  0.500
Pt  0.555  0.336  0.500
Pt  0.945  0.836  0.500

Values from the calculation:
Energy of formation from the pure elements: -0.58 eV/atom
Magnetic moment: 0.00 μB per formula unit
Crystal system: orthorhombic
Density of states at the Fermi level: 8.8 states/eV/f.u.
E_tot: -5.217 eV per atom

---

No. 2
Pm2Zn2Pt3 | PBE | relaxed

Lattice parameters (Å, degrees): 10.469 4.005 7.080 90.00 111.40 90.00
Fractional positions:
Pm  0.123  0.000  0.256
Pm  0.377  0.500  0.744
Pm  0.623  0.500  0.256
Pm  0.877  0.000  0.744
Zn  0.154  0.000  0.722
Zn  0.346  0.500  0.278
Zn  0.654  0.500  0.722
Zn  0.846  0.000  0.278
Pt  0.000  0.500  0.500
Pt  0.123  0.500  0.942
Pt  0.377  0.000  0.058
Pt  0.500  0.000  0.500
Pt  0.623  0.000  0.942
Pt  0.877  0.500  0.058

Values from the calculation:
Energy of formation from the pure elements: -0.84 eV/atom
Magnetic moment: 0.00 μB per formula unit
Crystal system: monoclinic
Density of states at the Fermi level: 3.4 states/eV/f.u.
E_tot: -5.153 eV per atom

---

> Look up the density of states at the Fermi level of the second one.

3.4 states/eV/f.u.

---

> Look up the density of states at the Fermi level of the first one.

8.8 states/eV/f.u.